Here is CuBiPt2 after structural relaxation from the Alexandria database. Energies are from PBE-GGA.

Cell: 3.995 3.995 18.758 Å, 90.00 90.00 90.00°
Space group I-42d (No. 122)
Unique sites:
1 Cu 0.000 0.000 0.000 [4 per cell]
2 Bi 0.000 0.000 0.500 [4 per cell]
3 Pt 0.231 0.250 0.125 [8 per cell]

Properties
Electronic total energy in eV/atom: -4.932
Magnetic moment in μB/f.u.: 0.0

***

Here is Cu2BiPt2 after structural relaxation from the Alexandria database. Energies are from PBE-GGA.

Cell: 7.508 7.508 2.982 Å, 90.00 90.00 90.00°
Space group P4/mbm (No. 127)
Unique sites:
1 Cu 0.159 0.341 0.000 [4 per cell]
2 Bi 0.000 0.000 0.500 [2 per cell]
3 Pt 0.135 0.635 0.500 [4 per cell]

Properties
Excess energy over the best structure of this formula in the dataset in meV/atom: 0
Magnetic moment in μB/f.u.: 0.0

***

Here is CuBiPt after structural relaxation from the Alexandria database. Energies are from PBE-GGA.

Cell: 4.938 4.958 9.205 Å, 90.00 90.00 90.00°
Space group Cmmm (No. 65)
Unique sites:
1 Cu 0.000 0.000 0.130 [4 per cell]
2 Bi 0.000 0.500 0.313 [4 per cell]
3 Pt 0.000 0.000 0.500 [2 per cell]
4 Pt 0.000 0.500 0.000 [2 per cell]

Properties
Excess energy over the best structure of this formula in the dataset in meV/atom: 81
Magnetic moment in μB/f.u.: 0.0

***

Here is Cu2BiPt2 after structural relaxation from the Alexandria database. Energies are from PBE-GGA.

Cell: 3.928 3.928 11.381 Å, 90.00 90.00 90.00°
Space group I4/mmm (No. 139)
Unique sites:
1 Cu 0.000 0.000 0.105 [4 per cell]
2 Bi 0.000 0.000 0.500 [2 per cell]
3 Pt 0.000 0.500 0.250 [4 per cell]

Properties
Excess energy over the best structure of this formula in the dataset in meV/atom: 86
Magnetic moment in μB/f.u.: 0.0